Record 1
Compound: AsPSe2Br
Source: Alexandria via LeMat-Bulk
Functional: GGA-PBE
Structure: relaxed

Cell and atoms, written as POSCAR:
```
AsPSe2Br
1.0
4.933 0.000 0.000
0.000 4.933 0.000
0.000 0.000 4.818
Br As Se P
1 1 2 1
direct
0.000 0.000 0.500
0.500 0.500 0.500
0.000 0.500 0.000
0.500 0.000 0.000
0.000 0.000 0.000
```

Calculated values
The calculation puts the formation energy from raw total energies at 0.5951 eV per atom. The calculation puts the distance to the lowest polymorph of the same formula at 0.004 eV per atom. The density of states at the Fermi level is 4.63 states/eV/cell. As for the space-group type: P4/mmm. The calculation puts the magnetization at 0.0 Bohr magnetons per cell.


Record 2
Compound: AsPSeBr2
Source: Alexandria via LeMat-Bulk
Functional: GGA-PBE
Structure: relaxed

Cell and atoms, written as POSCAR:
```
AsPSeBr2
1.0
-2.849 3.498 -2.341
-1.433 -3.464 -3.431
-4.514 -1.441 3.341
P As Se Br
1 1 1 2
direct
0.500 0.500 0.500
0.000 0.000 0.500
0.000 0.000 0.000
0.000 0.500 0.000
0.500 0.000 0.000
```

Calculated values
The calculation puts the formation energy from raw total energies at 0.9017 eV per atom. The calculation puts the distance to the lowest polymorph of the same formula at 0.348 eV per atom. The density of states at the Fermi level is 1.27 states/eV/cell. As for the space-group type: P4/mmm. The calculation puts the magnetization at 0.7 Bohr magnetons per cell.


Record 3
Compound: AsPSeBr2
Source: Alexandria via LeMat-Bulk
Functional: GGA-PBE
Structure: relaxed

Cell and atoms, written as POSCAR:
```
AsPSeBr2
1.0
-0.854 5.093 -0.197
-2.061 -0.163 4.737
4.894 0.904 2.160
Se As Br P
1 1 2 1
direct
0.000 0.000 0.500
0.000 0.000 0.000
0.000 0.500 0.000
0.500 0.000 0.000
0.500 0.500 0.500
```

Calculated values
The calculation puts the formation energy from raw total energies at 0.6642 eV per atom. The calculation puts the distance to the lowest polymorph of the same formula at 0.110 eV per atom. The density of states at the Fermi level is 2.43 states/eV/cell. As for the space-group type: P4/mmm. The calculation puts the magnetization at 2.0 Bohr magnetons per cell.


Record 4
Compound: AsPSe2Br
Source: Alexandria via LeMat-Bulk
Functional: GGA-PBE
Structure: relaxed

Cell and atoms, written as POSCAR:
```
AsPSe2Br
1.0
4.782 0.000 0.000
0.000 4.782 0.000
0.000 0.000 5.133
Se Br P As
2 1 1 1
direct
0.000 0.500 0.000
0.500 0.000 0.000
0.500 0.500 0.500
0.000 0.000 0.000
0.000 0.000 0.500
```

Calculated values
The calculation puts the formation energy from raw total energies at 0.5906 eV per atom. The calculation puts the distance to the lowest polymorph of the same formula at 0.000 eV per atom. The density of states at the Fermi level is 5.37 states/eV/cell. As for the space-group type: P4/mmm. The calculation puts the magnetization at 0.0 Bohr magnetons per cell.


Record 5
Compound: AsPSe2Br
Source: Alexandria via LeMat-Bulk
Functional: GGA-PBE
Structure: relaxed

Cell and atoms, written as POSCAR:
```
AsPSe2Br
1.0
-3.608 -1.920 3.116
3.659 -1.794 3.132
-0.081 4.362 2.594
P As Br Se
1 1 1 2
direct
0.500 0.500 0.500
0.000 0.000 0.000
0.000 0.000 0.500
0.000 0.500 0.000
0.500 0.000 0.000
```

Calculated values
The calculation puts the formation energy from raw total energies at 0.8221 eV per atom. The calculation puts the distance to the lowest polymorph of the same formula at 0.231 eV per atom. The density of states at the Fermi level is 2.72 states/eV/cell. As for the space-group type: P4/mmm. The calculation puts the magnetization at 1.2 Bohr magnetons per cell.


Record 6
Compound: As2PSeBr
Source: Alexandria via LeMat-Bulk
Functional: GGA-PBE
Structure: relaxed

Cell and atoms, written as POSCAR:
```
As2PSeBr
1.0
5.206 0.000 0.000
0.000 5.206 0.000
0.000 0.000 4.994
P Se As Br
1 1 2 1
direct
0.500 0.500 0.500
0.000 0.000 0.000
0.500 0.000 0.000
0.000 0.500 0.000
0.000 0.000 0.500
```

Calculated values
The calculation puts the formation energy from raw total energies at 1.1199 eV per atom. The calculation puts the distance to the lowest polymorph of the same formula at 0.467 eV per atom. The density of states at the Fermi level is 3.05 states/eV/cell. As for the space-group type: P4/mmm. The calculation puts the magnetization at 0.4 Bohr magnetons per cell.


Record 7
Compound: AsPSeBr2
Source: Alexandria via LeMat-Bulk
Functional: GGA-PBE
Structure: relaxed

Cell and atoms, written as POSCAR:
```
AsPSeBr2
1.0
-4.808 1.173 0.163
-0.536 -1.546 -4.674
-1.108 -4.781 1.708
Se Br As P
1 2 1 1
direct
0.000 0.000 0.500
0.000 0.500 0.000
0.500 0.000 0.000
0.500 0.500 0.500
0.000 0.000 0.000
```

Calculated values
The calculation puts the formation energy from raw total energies at 0.5542 eV per atom. The calculation puts the distance to the lowest polymorph of the same formula at 0.000 eV per atom. The density of states at the Fermi level is 3.40 states/eV/cell. As for the space-group type: P4/mmm. The calculation puts the magnetization at 1.3 Bohr magnetons per cell.


Record 8
Compound: As2PSeBr
Source: Alexandria via LeMat-Bulk
Functional: GGA-PBE
Structure: relaxed

Cell and atoms, written as POSCAR:
```
As2PSeBr
1.0
4.927 0.000 0.000
0.000 4.927 0.000
0.000 0.000 4.814
Br As Se P
1 2 1 1
direct
0.500 0.500 0.500
0.000 0.500 0.000
0.500 0.000 0.000
0.000 0.000 0.500
0.000 0.000 0.000
```

Calculated values
The calculation puts the formation energy from raw total energies at 0.6528 eV per atom. The calculation puts the distance to the lowest polymorph of the same formula at 0.000 eV per atom. The density of states at the Fermi level is 4.30 states/eV/cell. As for the space-group type: P4/mmm. The calculation puts the magnetization at 0.0 Bohr magnetons per cell.


Record 9
Compound: As2PSeBr
Source: Alexandria via LeMat-Bulk
Functional: GGA-PBE
Structure: relaxed

Cell and atoms, written as POSCAR:
```
As2PSeBr
1.0
-1.557 2.836 -3.748
3.142 -2.308 -3.052
-3.380 -3.227 -1.038
Br Se As P
1 1 2 1
direct
0.000 0.000 0.500
0.500 0.500 0.500
0.500 0.000 0.000
0.000 0.500 0.000
0.000 0.000 0.000
```

Calculated values
The calculation puts the formation energy from raw total energies at 0.7107 eV per atom. The calculation puts the distance to the lowest polymorph of the same formula at 0.058 eV per atom. The density of states at the Fermi level is 4.80 states/eV/cell. As for the space-group type: P4/mmm. The calculation puts the magnetization at 0.0 Bohr magnetons per cell.


Record 10
Compound: AsPSe2Br
Source: Alexandria via LeMat-Bulk
Functional: GGA-PBE
Structure: relaxed

Cell and atoms, written as POSCAR:
```
AsPSe2Br
1.0
-4.250 -2.695 0.345
1.710 -2.155 4.228
-2.177 3.794 2.815
Se P Br As
2 1 1 1
direct
0.500 0.000 0.000
0.000 0.500 0.000
0.500 0.500 0.500
0.000 0.000 0.000
0.000 0.000 0.500
```

Calculated values
The calculation puts the formation energy from raw total energies at 1.4594 eV per atom. The calculation puts the distance to the lowest polymorph of the same formula at 0.869 eV per atom. The density of states at the Fermi level is 6.41 states/eV/cell. As for the space-group type: P4/mmm. The calculation puts the magnetization at 0.0 Bohr magnetons per cell.


Record 11
Compound: As2PSeBr
Source: Alexandria via LeMat-Bulk
Functional: GGA-PBE
Structure: relaxed

Cell and atoms, written as POSCAR:
```
As2PSeBr
1.0
-2.828 -4.135 1.175
2.078 -0.084 4.707
-3.598 2.927 1.640
Br P As Se
1 1 2 1
direct
0.000 0.000 0.000
0.500 0.500 0.500
0.500 0.000 0.000
0.000 0.500 0.000
0.000 0.000 0.500
```

Calculated values
The calculation puts the formation energy from raw total energies at 1.5078 eV per atom. The calculation puts the distance to the lowest polymorph of the same formula at 0.855 eV per atom. The density of states at the Fermi level is 5.90 states/eV/cell. As for the space-group type: P4/mmm. The calculation puts the magnetization at 0.0 Bohr magnetons per cell.


Record 12
Compound: SiAs2PBr
Source: Alexandria via LeMat-Bulk
Functional: GGA-PBE
Structure: relaxed

Cell and atoms, written as POSCAR:
```
SiAs2PBr
1.0
4.847 0.000 0.000
0.000 4.847 0.000
0.000 0.000 4.912
Si Br As P
1 1 2 1
direct
0.500 0.500 0.500
0.000 0.000 0.500
0.000 0.500 0.000
0.500 0.000 0.000
0.000 0.000 0.000
```

Calculated values
The calculation puts the formation energy from raw total energies at 0.8836 eV per atom. The calculation puts the distance to the lowest polymorph of the same formula at 0.000 eV per atom. The density of states at the Fermi level is 5.01 states/eV/cell. As for the space-group type: P4/mmm. The calculation puts the magnetization at 0.0 Bohr magnetons per cell.